Density functional theory data (PBE+U) for a relaxed structure of MnGaCl2F.

a b c (Å): 5.184 5.184 4.079
angles (deg): 90.00 90.00 90.00
Atoms (fractional coordinates):
Mn1 0.000 0.000 0.000
Ga1 0.500 0.500 0.500
Cl1 0.000 0.500 0.000
Cl2 0.500 0.000 0.000
F1 0.000 0.000 0.500

Output
**ρ**: 3.250 g cm⁻³
**DOS(E_F)**: 0.0 states/eV/cell
**Electronic total energy**: -4.64 eV/atom
**Space-group type**: P4/mmm